# 1
A plane-wave DFT calculation with PBE was carried out for a relaxed Tb3BiSb2 crystal.

Properties
Formation energy from raw total energies = -102 kJ per mole of atoms
Magnetic moment = 0.0 μB per formula unit
Mass density = 8.4 Mg/m³

a b c (Å): 7.675 7.675 7.668
angles (deg): 99.59 99.59 119.97
Fractional coordinates of all 12 atoms:
Tb (0.000, 0.500, 0.000)
Tb (0.158, 0.329, 0.499)
Tb (0.329, 0.158, 0.999)
Tb (0.500, 0.000, 0.500)
Tb (0.671, 0.842, 0.001)
Tb (0.842, 0.671, 0.501)
Bi (0.418, 0.582, 0.250)
Bi (0.582, 0.418, 0.750)
Sb (0.084, 0.916, 0.250)
Sb (0.252, 0.748, 0.750)
Sb (0.748, 0.252, 0.250)
Sb (0.916, 0.084, 0.750)

# 2
A plane-wave DFT calculation with PBE was carried out for a relaxed Tb5Bi2Sb crystal.

Properties
Formation energy from raw total energies = -40 kJ per mole of atoms
Magnetic moment = 0.0 μB per formula unit
Mass density = 8.2 Mg/m³

a b c (Å): 6.952 6.952 14.022
angles (deg): 90.00 90.00 127.28
Fractional coordinates of all 16 atoms:
Tb (0.063, 0.937, 0.606)
Tb (0.063, 0.937, 0.894)
Tb (0.364, 0.636, 0.250)
Tb (0.377, 0.623, 0.563)
Tb (0.377, 0.623, 0.937)
Tb (0.623, 0.377, 0.063)
Tb (0.623, 0.377, 0.437)
Tb (0.636, 0.364, 0.750)
Tb (0.937, 0.063, 0.106)
Tb (0.937, 0.063, 0.394)
Bi (0.188, 0.812, 0.092)
Bi (0.188, 0.812, 0.408)
Bi (0.812, 0.188, 0.592)
Bi (0.812, 0.188, 0.908)
Sb (0.242, 0.758, 0.750)
Sb (0.758, 0.242, 0.250)

# 3
A plane-wave DFT calculation with PBE was carried out for a relaxed Tb2BiSb crystal.

Properties
Formation energy from raw total energies = -98 kJ per mole of atoms
Magnetic moment = 0.0 μB per formula unit
Mass density = 8.7 Mg/m³

a b c (Å): 7.703 7.703 7.703
angles (deg): 33.53 33.53 33.53
Fractional coordinates of all 4 atoms:
Tb (0.248, 0.248, 0.248)
Tb (0.752, 0.752, 0.752)
Bi (0.000, 0.000, 0.000)
Sb (0.500, 0.500, 0.500)

# 4
A plane-wave DFT calculation with PBE was carried out for a relaxed Tb3BiSb2 crystal.

Properties
Formation energy from raw total energies = -102 kJ per mole of atoms
Magnetic moment = 0.0 μB per formula unit
Mass density = 8.4 Mg/m³

a b c (Å): 7.677 7.677 7.677
angles (deg): 146.47 131.85 59.95
Fractional coordinates of all 6 atoms:
Tb (0.000, 0.000, 0.000)
Tb (0.329, 0.329, 0.000)
Tb (0.671, 0.671, 0.000)
Bi (0.500, 0.000, 0.500)
Sb (0.165, 0.665, 0.500)
Sb (0.835, 0.335, 0.500)

# 5
A plane-wave DFT calculation with PBE was carried out for a relaxed Tb8Bi2Sb crystal.

Properties
Formation energy from raw total energies = -42 kJ per mole of atoms
Magnetic moment = 0.0 μB per formula unit
Mass density = 9.0 Mg/m³

a b c (Å): 9.617 9.617 7.006
angles (deg): 92.27 92.27 31.21
Fractional coordinates of all 11 atoms:
Tb (0.028, 0.028, 0.250)
Tb (0.218, 0.218, 0.135)
Tb (0.339, 0.339, 0.581)
Tb (0.407, 0.407, 0.060)
Tb (0.593, 0.593, 0.940)
Tb (0.661, 0.661, 0.419)
Tb (0.782, 0.782, 0.865)
Tb (0.972, 0.972, 0.750)
Bi (0.168, 0.168, 0.683)
Bi (0.832, 0.832, 0.317)
Sb (0.500, 0.500, 0.500)

# 6
A plane-wave DFT calculation with PBE was carried out for a relaxed Tb6BiSb3 crystal.

Properties
Formation energy from raw total energies = -71 kJ per mole of atoms
Magnetic moment = 1.0 μB per formula unit
Mass density = 8.0 Mg/m³

a b c (Å): 9.286 9.286 7.672
angles (deg): 90.00 90.00 106.14
Fractional coordinates of all 20 atoms:
Tb (0.002, 0.998, 0.500)
Tb (0.080, 0.527, 0.001)
Tb (0.250, 0.750, 0.370)
Tb (0.278, 0.378, 0.399)
Tb (0.378, 0.278, 0.899)
Tb (0.473, 0.920, 0.001)
Tb (0.527, 0.080, 0.501)
Tb (0.622, 0.722, 0.399)
Tb (0.722, 0.622, 0.899)
Tb (0.750, 0.250, 0.870)
Tb (0.920, 0.473, 0.501)
Tb (0.998, 0.002, 0.000)
Bi (0.174, 0.826, 0.748)
Bi (0.826, 0.174, 0.248)
Sb (0.082, 0.282, 0.730)
Sb (0.282, 0.082, 0.230)
Sb (0.417, 0.583, 0.091)
Sb (0.583, 0.417, 0.591)
Sb (0.718, 0.918, 0.730)
Sb (0.918, 0.718, 0.230)